Entry 1:
Density functional theory data (PBE) for a geometry-optimized Ti2MoPI structure.

abc: 4.956 4.901 4.956
angles: 90.00 90.00 90.00
Last column: magnetic moment on the atom in μB.
Atoms (fractional coordinates):
I 0.000 0.000 0.000  0.01
P 0.500 0.500 0.500  -0.04
Mo 0.000 0.500 0.000  -0.93
Ti 0.000 0.000 0.500  0.93
Ti 0.500 0.000 0.000  0.88

Values from the calculation:
density of states at the Fermi level	6.808	states/eV/cell
uncorrected formation energy	7.8	eV/f.u.
magnetic moment	1.14	μB per formula unit
volume	24.08	A^3/atom


Entry 2:
Density functional theory data (PBE) for a geometry-optimized VMo2PI structure.

abc: 4.671 4.877 4.671
angles: 90.00 90.00 90.00
Last column: magnetic moment on the atom in μB.
Atoms (fractional coordinates):
I 0.000 0.500 0.000  -0.01
P 0.500 0.500 0.500  -0.14
Mo 0.000 0.000 0.500  1.00
Mo 0.500 0.000 0.000  1.20
V 0.000 0.000 0.000  -0.41

Values from the calculation:
density of states at the Fermi level	5.699	states/eV/cell
uncorrected formation energy	8.4	eV/f.u.
magnetic moment	1.86	μB per formula unit
volume	21.28	A^3/atom


Entry 3:
Density functional theory data (PBE) for a geometry-optimized Mo6PbI14 structure.

abc: 14.818 14.818 14.818
angles: 90.00 90.00 90.00
Atoms (fractional coordinates):
Mo 0.781 0.872 0.725
Mo 0.725 0.781 0.872
Mo 0.628 0.225 0.281
Mo 0.275 0.219 0.872
Mo 0.775 0.281 0.372
Mo 0.372 0.775 0.281
Mo 0.775 0.719 0.628
Mo 0.225 0.719 0.372
Mo 0.281 0.372 0.775
Mo 0.281 0.628 0.225
Mo 0.372 0.225 0.719
Mo 0.225 0.281 0.628
Mo 0.872 0.725 0.781
Mo 0.719 0.628 0.775
Mo 0.719 0.372 0.225
Mo 0.872 0.275 0.219
Mo 0.128 0.275 0.781
Mo 0.219 0.128 0.725
Mo 0.128 0.725 0.219
Mo 0.628 0.775 0.719
Mo 0.275 0.781 0.128
Mo 0.219 0.872 0.275
Mo 0.725 0.219 0.128
Mo 0.781 0.128 0.275
Pb 0.750 0.750 0.250
Pb 0.250 0.250 0.250
Pb 0.250 0.750 0.750
Pb 0.750 0.250 0.750
I 0.130 0.565 0.318
I 0.056 0.682 0.832
I 0.630 0.935 0.818
I 0.370 0.935 0.182
I 0.435 0.682 0.130
I 0.182 0.370 0.935
I 0.116 0.884 0.116
I 0.332 0.444 0.182
I 0.318 0.870 0.435
I 0.682 0.870 0.565
I 0.884 0.116 0.116
I 0.182 0.332 0.444
I 0.870 0.435 0.318
I 0.935 0.182 0.370
I 0.668 0.444 0.818
I 0.556 0.818 0.332
I 0.318 0.832 0.944
I 0.384 0.384 0.616
I 0.556 0.182 0.668
I 0.444 0.182 0.332
I 0.116 0.116 0.884
I 0.616 0.384 0.384
I 0.944 0.318 0.832
I 0.384 0.616 0.384
I 0.870 0.565 0.682
I 0.630 0.065 0.182
I 0.944 0.682 0.168
I 0.065 0.818 0.370
I 0.182 0.630 0.065
I 0.682 0.832 0.056
I 0.332 0.556 0.818
I 0.884 0.884 0.884
I 0.818 0.370 0.065
I 0.616 0.616 0.616
I 0.056 0.318 0.168
I 0.318 0.130 0.565
I 0.935 0.818 0.630
I 0.182 0.668 0.556
I 0.832 0.056 0.682
I 0.065 0.182 0.630
I 0.444 0.818 0.668
I 0.668 0.556 0.182
I 0.818 0.630 0.935
I 0.818 0.668 0.444
I 0.565 0.318 0.130
I 0.168 0.056 0.318
I 0.318 0.168 0.056
I 0.130 0.435 0.682
I 0.818 0.332 0.556
I 0.682 0.168 0.944
I 0.435 0.318 0.870
I 0.832 0.944 0.318
I 0.565 0.682 0.870
I 0.370 0.065 0.818
I 0.168 0.944 0.682
I 0.682 0.130 0.435

Values from the calculation:
density of states at the Fermi level	0.000	states/eV/cell
uncorrected formation energy	-8.9	eV/f.u.
magnetic moment	0.00	μB per formula unit
volume	38.73	A^3/atom


Entry 4:
Density functional theory data (PBE) for a geometry-optimized Mo3PbI structure.

abc: 4.944 4.944 4.944
angles: 90.00 90.00 90.00
Last column: magnetic moment on the atom in μB.
Atoms (fractional coordinates):
Pb 0.500 0.500 0.500  0.04
I 0.000 0.000 0.000  -0.02
Mo 0.000 0.500 0.000  0.50
Mo 0.000 0.000 0.500  0.74
Mo 0.500 0.000 0.000  0.61

Values from the calculation:
density of states at the Fermi level	8.507	states/eV/cell
uncorrected formation energy	9.8	eV/f.u.
magnetic moment	2.15	μB per formula unit
volume	24.18	A^3/atom


Entry 5:
Density functional theory data (PBE) for a geometry-optimized Rb2MoPbI6 structure.

abc: 8.615 8.615 8.625
angles: 60.04 60.04 90.00
Last column: magnetic moment on the atom in μB.
Atoms (fractional coordinates):
Pb 0.000 0.000 0.000  0.13
I 0.263 0.263 0.474  0.01
I 0.737 0.737 0.526  0.01
I 0.264 0.264 0.000  0.01
I 0.736 0.736 0.000  0.01
I 0.736 0.264 0.000  0.01
I 0.264 0.736 0.000  0.01
Mo 0.500 0.500 0.000  2.97
Rb 0.750 0.250 0.500  0.00
Rb 0.250 0.750 0.500  0.00

Values from the calculation:
density of states at the Fermi level	2.316	states/eV/cell
uncorrected formation energy	-6.6	eV/f.u.
magnetic moment	4.00	μB per formula unit
volume	45.32	A^3/atom


Entry 6:
Density functional theory data (PBE) for a geometry-optimized Sb2MoPbI structure.

abc: 5.199 5.199 5.936
angles: 90.00 90.00 90.00
Last column: magnetic moment on the atom in μB.
Atoms (fractional coordinates):
Pb 0.500 0.500 0.500  0.09
I 0.000 0.000 0.500  -0.01
Mo 0.000 0.000 0.000  0.69
Sb 0.000 0.500 0.000  -0.05
Sb 0.500 0.000 0.000  -0.05

Values from the calculation:
density of states at the Fermi level	4.250	states/eV/cell
uncorrected formation energy	2.4	eV/f.u.
magnetic moment	0.81	μB per formula unit
volume	32.09	A^3/atom


Entry 7:
Density functional theory data (PBE) for a geometry-optimized SbMoPbI2 structure.

abc: 5.565 5.565 5.432
angles: 90.00 90.00 90.00
Last column: magnetic moment on the atom in μB.
Atoms (fractional coordinates):
Pb 0.500 0.500 0.500  0.20
I 0.000 0.500 0.000  0.02
I 0.500 0.000 0.000  0.02
Mo 0.000 0.000 0.000  2.03
Sb 0.000 0.000 0.500  -0.11

Values from the calculation:
density of states at the Fermi level	3.250	states/eV/cell
uncorrected formation energy	2.3	eV/f.u.
magnetic moment	2.72	μB per formula unit
volume	33.64	A^3/atom


Entry 8:
Density functional theory data (PBE) for a geometry-optimized TaMoPb2I structure.

abc: 5.948 5.069 5.948
angles: 90.00 90.00 90.00
Last column: magnetic moment on the atom in μB.
Atoms (fractional coordinates):
Pb 0.000 0.000 0.500  -0.03
Pb 0.500 0.000 0.000  -0.04
I 0.000 0.000 0.000  0.00
Mo 0.500 0.500 0.500  3.67
Ta 0.000 0.500 0.000  0.78

Values from the calculation:
density of states at the Fermi level	4.385	states/eV/cell
uncorrected formation energy	10.6	eV/f.u.
magnetic moment	5.66	μB per formula unit
volume	35.86	A^3/atom


Entry 9:
Density functional theory data (PBE) for a geometry-optimized TlMo2PbI structure.

abc: 5.087 6.021 5.087
angles: 90.00 90.00 90.00
Last column: magnetic moment on the atom in μB.
Atoms (fractional coordinates):
Pb 0.000 0.500 0.000  -0.10
I 0.000 0.000 0.000  -0.02
Tl 0.500 0.500 0.500  -0.01
Mo 0.000 0.000 0.500  1.82
Mo 0.500 0.000 0.000  1.94

Values from the calculation:
density of states at the Fermi level	3.282	states/eV/cell
uncorrected formation energy	8.7	eV/f.u.
magnetic moment	4.14	μB per formula unit
volume	31.16	A^3/atom


Entry 10:
Density functional theory data (PBE) for a geometry-optimized ZnMoPb2I structure.

abc: 6.105 5.118 6.105
angles: 90.00 90.00 90.00
Last column: magnetic moment on the atom in μB.
Atoms (fractional coordinates):
Pb 0.000 0.000 0.500  -0.06
Pb 0.500 0.000 0.000  -0.16
I 0.000 0.000 0.000  -0.02
Mo 0.000 0.500 0.000  2.51
Zn 0.500 0.500 0.500  -0.02

Values from the calculation:
density of states at the Fermi level	4.307	states/eV/cell
uncorrected formation energy	6.9	eV/f.u.
magnetic moment	2.32	μB per formula unit
volume	38.15	A^3/atom


Entry 11:
Density functional theory data (PBE) for a geometry-optimized MoPd2I structure.

abc: 4.736 4.736 4.736
angles: 60.00 60.00 60.00
Last column: magnetic moment on the atom in μB.
Atoms (fractional coordinates):
I 0.500 0.500 0.500  -0.02
Mo 0.000 0.000 0.000  2.22
Pd 0.250 0.250 0.250  0.04
Pd 0.750 0.750 0.750  0.04

Values from the calculation:
density of states at the Fermi level	4.563	states/eV/cell
uncorrected formation energy	3.0	eV/f.u.
magnetic moment	2.58	μB per formula unit
volume	18.78	A^3/atom


Entry 12:
Density functional theory data (PBE) for a geometry-optimized MoPd3I structure.

abc: 4.893 4.893 4.893
angles: 90.00 90.00 90.00
Atoms (fractional coordinates):
I 0.500 0.500 0.500
Mo 0.000 0.000 0.000
Pd 0.000 0.500 0.000
Pd 0.000 0.000 0.500
Pd 0.500 0.000 0.000

Values from the calculation:
density of states at the Fermi level	4.828	states/eV/cell
uncorrected formation energy	5.2	eV/f.u.
magnetic moment	0.00	μB per formula unit
volume	23.43	A^3/atom


Entry 13:
Density functional theory data (PBE) for a geometry-optimized MoPdI structure.

abc: 3.533 6.415 7.668
angles: 103.07 117.09 106.55
Atoms (fractional coordinates):
Mo 0.850 0.150 0.524
Mo 0.150 0.850 0.476
Pd 0.283 0.773 0.145
Pd 0.717 0.227 0.855
I 0.380 0.666 0.794
I 0.620 0.334 0.206

Values from the calculation:
density of states at the Fermi level	1.692	states/eV/cell
uncorrected formation energy	0.8	eV/f.u.
magnetic moment	0.00	μB per formula unit
volume	22.47	A^3/atom


Entry 14:
Density functional theory data (PBE) for a geometry-optimized MoPd3I structure.

abc: 4.948 4.948 4.948
angles: 90.00 90.00 90.00
Last column: magnetic moment on the atom in μB.
Atoms (fractional coordinates):
I 0.000 0.000 0.000  0.04
Mo 0.500 0.500 0.500  3.74
Pd 0.000 0.500 0.000  0.03
Pd 0.000 0.000 0.500  0.05
Pd 0.500 0.000 0.000  0.05

Values from the calculation:
density of states at the Fermi level	0.548	states/eV/cell
uncorrected formation energy	5.7	eV/f.u.
magnetic moment	4.90	μB per formula unit
volume	24.22	A^3/atom


Entry 15:
Density functional theory data (PBE) for a geometry-optimized MoPdI2 structure.

abc: 6.116 6.116 7.614
angles: 66.32 66.32 90.00
Atoms (fractional coordinates):
I 0.617 0.125 0.250
I 0.133 0.625 0.250
I 0.375 0.383 0.750
I 0.875 0.867 0.750
Mo 0.500 0.500 0.000
Mo 0.250 0.750 0.500
Pd 0.000 0.000 0.000
Pd 0.750 0.250 0.500

Values from the calculation:
density of states at the Fermi level	6.187	states/eV/cell
uncorrected formation energy	2.6	eV/f.u.
magnetic moment	0.00	μB per formula unit
volume	29.30	A^3/atom


Entry 16:
Density functional theory data (PBE) for a geometry-optimized MoPdI2 structure.

abc: 4.913 4.913 4.913
angles: 60.00 60.00 60.00
Last column: magnetic moment on the atom in μB.
Atoms (fractional coordinates):
I 0.250 0.250 0.250  -0.01
I 0.750 0.750 0.750  -0.01
Mo 0.000 0.000 0.000  0.32
Pd 0.500 0.500 0.500  0.02

Values from the calculation:
density of states at the Fermi level	3.030	states/eV/cell
uncorrected formation energy	3.0	eV/f.u.
magnetic moment	0.34	μB per formula unit
volume	20.97	A^3/atom


Entry 17:
Density functional theory data (PBE) for a geometry-optimized Mo3PdI structure.

abc: 4.833 4.833 4.833
angles: 90.00 90.00 90.00
Atoms (fractional coordinates):
I 0.000 0.000 0.000
Mo 0.000 0.500 0.000
Mo 0.000 0.000 0.500
Mo 0.500 0.000 0.000
Pd 0.500 0.500 0.500

Values from the calculation:
density of states at the Fermi level	7.793	states/eV/cell
uncorrected formation energy	11.1	eV/f.u.
magnetic moment	0.00	μB per formula unit
volume	22.57	A^3/atom


Entry 18:
Density functional theory data (PBE) for a geometry-optimized MoPd2I structure.

abc: 6.660 6.660 6.481
angles: 59.08 59.08 90.00
Atoms (fractional coordinates):
I 0.000 0.000 0.000
I 0.750 0.250 0.500
Mo 0.500 0.500 0.000
Mo 0.250 0.750 0.500
Pd 0.588 0.125 0.250
Pd 0.162 0.625 0.250
Pd 0.375 0.412 0.750
Pd 0.875 0.838 0.750

Values from the calculation:
density of states at the Fermi level	5.499	states/eV/cell
uncorrected formation energy	3.4	eV/f.u.
magnetic moment	0.00	μB per formula unit
volume	24.68	A^3/atom


Entry 19:
Density functional theory data (PBE) for a geometry-optimized MoPdPt2I structure.

abc: 4.910 5.034 4.910
angles: 90.00 90.00 90.00
Last column: magnetic moment on the atom in μB.
Atoms (fractional coordinates):
I 0.000 0.000 0.000  -0.03
Mo 0.000 0.500 0.000  2.37
Pd 0.500 0.500 0.500  0.11
Pt 0.000 0.000 0.500  0.08
Pt 0.500 0.000 0.000  0.05

Values from the calculation:
density of states at the Fermi level	4.251	states/eV/cell
uncorrected formation energy	8.0	eV/f.u.
magnetic moment	2.92	μB per formula unit
volume	24.27	A^3/atom


Entry 20:
Density functional theory data (PBE) for a geometry-optimized RbMo2PdI structure.

abc: 5.030 6.280 5.030
angles: 90.00 90.00 90.00
Last column: magnetic moment on the atom in μB.
Atoms (fractional coordinates):
I 0.000 0.000 0.000  -0.01
Mo 0.000 0.000 0.500  1.58
Mo 0.500 0.000 0.000  1.67
Rb 0.000 0.500 0.000  0.00
Pd 0.500 0.500 0.500  0.09

Values from the calculation:
density of states at the Fermi level	5.406	states/eV/cell
uncorrected formation energy	9.6	eV/f.u.
magnetic moment	3.88	μB per formula unit
volume	31.78	A^3/atom


Entry 21:
Density functional theory data (PBE) for a geometry-optimized MoPd2RhI structure.

abc: 4.996 4.641 4.996
angles: 90.00 90.00 90.00
Last column: magnetic moment on the atom in μB.
Atoms (fractional coordinates):
I 0.500 0.500 0.500  0.01
Mo 0.000 0.500 0.000  1.95
Rh 0.000 0.000 0.000  -0.11
Pd 0.000 0.000 0.500  -0.04
Pd 0.500 0.000 0.000  0.03

Values from the calculation:
density of states at the Fermi level	6.947	states/eV/cell
uncorrected formation energy	5.7	eV/f.u.
magnetic moment	2.14	μB per formula unit
volume	23.17	A^3/atom


Entry 22:
Density functional theory data (PBE) for a geometry-optimized TeMoPdI2 structure.

abc: 5.412 5.412 5.422
angles: 90.00 90.00 90.00
Last column: magnetic moment on the atom in μB.
Atoms (fractional coordinates):
I 0.000 0.500 0.000  -0.04
I 0.500 0.000 0.000  -0.04
Mo 0.500 0.500 0.500  3.80
Te 0.000 0.000 0.500  -0.29
Pd 0.000 0.000 0.000  -0.04

Values from the calculation:
density of states at the Fermi level	4.428	states/eV/cell
uncorrected formation energy	4.3	eV/f.u.
magnetic moment	3.99	μB per formula unit
volume	31.76	A^3/atom


Entry 23:
Density functional theory data (PBE) for a geometry-optimized TeMoPdI2 structure.

abc: 5.661 5.661 5.187
angles: 90.00 90.00 90.00
Last column: magnetic moment on the atom in μB.
Atoms (fractional coordinates):
I 0.000 0.500 0.000  0.02
I 0.500 0.000 0.000  0.02
Mo 0.000 0.000 0.000  1.84
Te 0.000 0.000 0.500  -0.15
Pd 0.500 0.500 0.500  -0.28

Values from the calculation:
density of states at the Fermi level	6.853	states/eV/cell
uncorrected formation energy	3.6	eV/f.u.
magnetic moment	1.70	μB per formula unit
volume	33.24	A^3/atom